Below is a geometry-optimized Tm4In2Pb structure, with properties calculated at the PBE-GGA level.

Lattice parameters (Å, degrees): 5.6241 6.5444 10.7069 90.00 101.50 90.00
Space group P2_1/m (No. 11)
Symmetry-distinct sites (fractional):
Tm 0.1200 0.2500 0.1355 (multiplicity 2)
Tm 0.2437 0.7500 0.4451 (multiplicity 2)
Tm 0.3333 0.0033 0.7306 (multiplicity 4)
In 0.2142 0.2500 0.4357 (multiplicity 2)
In 0.4416 0.7500 0.9928 (multiplicity 2)
Pb 0.0901 0.7500 0.1622 (multiplicity 2)

Magnetic moment (μB per cell): 0.00
ΔE to the lowest computed polymorph (eV per atom): 0.000
DFT formation energy (eV per atom): -0.303
Crystal system: monoclinic

=====

Below is a geometry-optimized Tm5InPb3 structure, with properties calculated at the PBE-GGA level.

Lattice parameters (Å, degrees): 9.3122 9.3122 6.5212 90.00 90.00 120.00
Space group P6_3/mcm (No. 193)
Symmetry-distinct sites (fractional):
Tm 0.0000 0.2760 0.2500 (multiplicity 6)
Tm 0.3333 0.6667 0.0000 (multiplicity 4)
In 0.0000 0.0000 0.0000 (multiplicity 2)
Pb 0.0000 0.3801 0.7500 (multiplicity 6)

Magnetic moment (μB per cell): 0.00
DFT formation energy (eV per atom): -0.446
Crystal system: hexagonal

=====

Below is a geometry-optimized TmIn4Pb structure, with properties calculated at the PBE-GGA level.

Lattice parameters (Å, degrees): 8.6332 8.6332 8.6332 90.00 90.00 90.00
Space group F-43m (No. 216)
Symmetry-distinct sites (fractional):
Tm 0.0000 0.0000 0.0000 (multiplicity 4)
In 0.1252 0.1252 0.3748 (multiplicity 16)
Pb 0.2500 0.2500 0.7500 (multiplicity 4)

Magnetic moment (μB per cell): 0.00
DFT formation energy (eV per atom): -0.044
Crystal system: cubic

=====

Below is a geometry-optimized Tm4In3Pb structure, with properties calculated at the PBE-GGA level.

Lattice parameters (Å, degrees): 6.9188 6.9309 17.4698 90.00 90.00 90.00
Space group Fmmm (No. 69)
Symmetry-distinct sites (fractional):
Tm 0.2500 0.2500 0.1271 (multiplicity 16)
In 0.0000 0.0000 0.0000 (multiplicity 4)
In 0.0000 0.0000 0.2504 (multiplicity 8)
Pb 0.0000 0.0000 0.5000 (multiplicity 4)

Magnetic moment (μB per cell): 0.00
DFT formation energy (eV per atom): -0.407
Crystal system: orthorhombic

=====

Below is a geometry-optimized Tm12In6Pb structure, with properties calculated at the PBE-GGA level.

Lattice parameters (Å, degrees): 13.5778 13.5778 12.0808 90.00 90.00 120.00
Space group R-3 (No. 148, hexagonal axes)
Symmetry-distinct sites (fractional):
Tm 0.0384 0.8229 0.3899 (multiplicity 18)
Tm 0.0493 0.8273 0.8929 (multiplicity 18)
In 0.0497 0.7894 0.6489 (multiplicity 18)
Pb 0.0000 0.0000 0.0000 (multiplicity 3)

Magnetic moment (μB per cell): 0.00
DFT formation energy (eV per atom): -0.007
Crystal system: trigonal

=====

Below is a geometry-optimized Tm8In2Pb structure, with properties calculated at the PBE-GGA level.

Lattice parameters (Å, degrees): 5.0239 8.5043 14.6165 90.00 90.00 90.00
Space group Immm (No. 71)
Symmetry-distinct sites (fractional):
Tm 0.0000 0.0000 0.1446 (multiplicity 4)
Tm 0.0000 0.2144 0.3412 (multiplicity 8)
Tm 0.0000 0.3065 0.0000 (multiplicity 4)
In 0.0000 0.5000 0.1960 (multiplicity 4)
Pb 0.0000 0.5000 0.5000 (multiplicity 2)

Magnetic moment (μB per cell): 0.00
ΔE to the lowest computed polymorph (eV per atom): 0.069
DFT formation energy (eV per atom): -0.185
Crystal system: orthorhombic

=====

Below is a geometry-optimized Tm2InPb structure, with properties calculated at the PBE-GGA level.

Lattice parameters (Å, degrees): 3.4875 3.4875 8.7651 90.00 90.00 90.00
Space group P4/mmm (No. 123)
Symmetry-distinct sites (fractional):
Tm 0.0000 0.0000 0.2408 (multiplicity 2)
In 0.5000 0.5000 0.0000 (multiplicity 1)
Pb 0.5000 0.5000 0.5000 (multiplicity 1)

Magnetic moment (μB per cell): 0.00
DFT formation energy (eV per atom): -0.394
Crystal system: tetragonal

=====

Below is a geometry-optimized Tm3InPb structure, with properties calculated at the PBE-GGA level.

Lattice parameters (Å, degrees): 16.0207 6.2906 11.0084 90.00 96.90 90.00
Space group C2/c (No. 15)
Symmetry-distinct sites (fractional):
Tm 0.0439 0.2493 0.0104 (multiplicity 8)
Tm 0.1009 0.0126 0.7725 (multiplicity 8)
Tm 0.1952 0.4783 0.2603 (multiplicity 8)
In 0.1577 0.2256 0.5275 (multiplicity 8)
Pb 0.0000 0.4984 0.7500 (multiplicity 4)
Pb 0.2500 0.2500 0.0000 (multiplicity 4)

Magnetic moment (μB per cell): 0.00
DFT formation energy (eV per atom): -0.274
Crystal system: monoclinic

=====

Below is a geometry-optimized Tm5InPb4 structure, with properties calculated at the PBE-GGA level.

Lattice parameters (Å, degrees): 3.8063 3.8063 18.9979 90.00 90.00 90.00
Space group P4/mmm (No. 123)
Symmetry-distinct sites (fractional):
Tm 0.0000 0.0000 0.0000 (multiplicity 1)
Tm 0.0000 0.0000 0.2047 (multiplicity 2)
Tm 0.0000 0.0000 0.4055 (multiplicity 2)
In 0.5000 0.5000 0.5000 (multiplicity 1)
Pb 0.5000 0.5000 0.1023 (multiplicity 2)
Pb 0.5000 0.5000 0.3056 (multiplicity 2)

Magnetic moment (μB per cell): 0.00
ΔE to the lowest computed polymorph (eV per atom): 0.000
DFT formation energy (eV per atom): -0.343
Crystal system: tetragonal

=====

Below is a geometry-optimized Tm8InPb2 structure, with properties calculated at the PBE-GGA level.

Lattice parameters (Å, degrees): 16.2530 6.4314 6.1919 90.00 93.05 90.00
Space group C2/m (No. 12)
Symmetry-distinct sites (fractional):
Tm 0.0784 0.0000 0.3751 (multiplicity 4)
Tm 0.0957 0.2471 0.8717 (multiplicity 8)
Tm 0.1982 0.5000 0.3555 (multiplicity 4)
In 0.0000 0.5000 0.5000 (multiplicity 2)
Pb 0.2391 0.0000 0.1532 (multiplicity 4)

Magnetic moment (μB per cell): 0.00
DFT formation energy (eV per atom): -0.172
Crystal system: monoclinic

=====

Below is a geometry-optimized TmInPb6 structure, with properties calculated at the PBE-GGA level.

Lattice parameters (Å, degrees): 4.8340 4.8340 10.1783 90.00 90.00 90.00
Space group P4/mmm (No. 123)
Symmetry-distinct sites (fractional):
Tm 0.0000 0.0000 0.0000 (multiplicity 1)
In 0.0000 0.0000 0.5000 (multiplicity 1)
Pb 0.0000 0.5000 0.2453 (multiplicity 4)
Pb 0.5000 0.5000 0.0000 (multiplicity 1)
Pb 0.5000 0.5000 0.5000 (multiplicity 1)

Magnetic moment (μB per cell): 0.00
DFT formation energy (eV per atom): -0.079
Crystal system: tetragonal

=====

Below is a geometry-optimized Tm5InPb4 structure, with properties calculated at the PBE-GGA level.

Lattice parameters (Å, degrees): 9.6772 9.6772 6.2987 90.00 90.00 90.00
Space group I4 (No. 79)
Symmetry-distinct sites (fractional):
Tm 0.0000 0.0000 0.0000 (multiplicity 2)
Tm 0.0904 0.3141 0.7035 (multiplicity 8)
In 0.0000 0.0000 0.5041 (multiplicity 2)
Pb 0.1045 0.2787 0.2044 (multiplicity 8)

Magnetic moment (μB per cell): 0.00
ΔE to the lowest computed polymorph (eV per atom): 0.093
DFT formation energy (eV per atom): -0.250
Crystal system: tetragonal

=====

Below is a geometry-optimized TmInPb2 structure, with properties calculated at the PBE-GGA level.

Lattice parameters (Å, degrees): 4.8308 4.8308 4.7055 90.00 90.00 90.00
Space group P4/mmm (No. 123)
Symmetry-distinct sites (fractional):
Tm 0.0000 0.0000 0.0000 (multiplicity 1)
In 0.5000 0.5000 0.0000 (multiplicity 1)
Pb 0.0000 0.5000 0.5000 (multiplicity 2)

Magnetic moment (μB per cell): 0.00
DFT formation energy (eV per atom): -0.250
Crystal system: tetragonal

=====

Below is a geometry-optimized Tm3In2Pb2 structure, with properties calculated at the PBE-GGA level.

Lattice parameters (Å, degrees): 4.6202 23.1709 3.4812 90.00 90.00 90.00
Space group Cmmm (No. 65)
Symmetry-distinct sites (fractional):
Tm 0.0000 0.0000 0.0000 (multiplicity 2)
Tm 0.0000 0.1558 0.0000 (multiplicity 4)
In 0.0000 0.2867 0.5000 (multiplicity 4)
Pb 0.0000 0.4253 0.5000 (multiplicity 4)

Magnetic moment (μB per cell): 0.52
DFT formation energy (eV per atom): -0.348
Crystal system: orthorhombic

=====

Below is a geometry-optimized Tm8In2Pb structure, with properties calculated at the PBE-GGA level.

Lattice parameters (Å, degrees): 16.1798 5.2342 8.4327 90.00 120.20 90.00
Space group C2/m (No. 12)
Symmetry-distinct sites (fractional):
Tm 0.0622 0.0000 0.2179 (multiplicity 4)
Tm 0.0927 0.5000 0.9584 (multiplicity 4)
Tm 0.1428 0.0000 0.6865 (multiplicity 4)
Tm 0.1822 0.5000 0.4439 (multiplicity 4)
In 0.2211 0.0000 0.1170 (multiplicity 4)
Pb 0.0000 0.5000 0.5000 (multiplicity 2)

Magnetic moment (μB per cell): 0.00
ΔE to the lowest computed polymorph (eV per atom): 0.000
DFT formation energy (eV per atom): -0.254
Crystal system: monoclinic

=====

Below is a geometry-optimized Tm12InPb3 structure, with properties calculated at the PBE-GGA level.

Lattice parameters (Å, degrees): 4.8010 4.8010 19.1819 90.00 90.00 90.00
Space group P4/mmm (No. 123)
Symmetry-distinct sites (fractional):
Tm 0.0000 0.0000 0.0000 (multiplicity 1)
Tm 0.0000 0.0000 0.2495 (multiplicity 2)
Tm 0.0000 0.0000 0.5000 (multiplicity 1)
Tm 0.0000 0.5000 0.1235 (multiplicity 4)
Tm 0.0000 0.5000 0.3747 (multiplicity 4)
In 0.5000 0.5000 0.0000 (multiplicity 1)
Pb 0.5000 0.5000 0.2488 (multiplicity 2)
Pb 0.5000 0.5000 0.5000 (multiplicity 1)

Magnetic moment (μB per cell): 0.65
DFT formation energy (eV per atom): -0.247
Crystal system: tetragonal

=====

Below is a geometry-optimized TmIn6Pb structure, with properties calculated at the PBE-GGA level.

Lattice parameters (Å, degrees): 6.8137 6.8137 4.5689 90.00 90.00 90.00
Space group P4/mmm (No. 123)
Symmetry-distinct sites (fractional):
Tm 0.0000 0.0000 0.0000 (multiplicity 1)
In 0.0000 0.5000 0.0000 (multiplicity 2)
In 0.2457 0.2457 0.5000 (multiplicity 4)
Pb 0.5000 0.5000 0.0000 (multiplicity 1)

Magnetic moment (μB per cell): 0.00
DFT formation energy (eV per atom): -0.112
Crystal system: tetragonal

=====

Below is a geometry-optimized Tm4In2Pb3 structure, with properties calculated at the PBE-GGA level.

Lattice parameters (Å, degrees): 4.8945 5.3887 10.5790 83.50 89.71 63.34
Space group P-1 (No. 2)
Symmetry-distinct sites (fractional):
Tm 0.0075 0.4859 0.1709 (multiplicity 2)
Tm 0.3266 0.8464 0.6140 (multiplicity 2)
In 0.3438 0.8125 0.2861 (multiplicity 2)
Pb 0.0000 0.5000 0.5000 (multiplicity 1)
Pb 0.3310 0.8368 0.9415 (multiplicity 2)

Magnetic moment (μB per cell): 0.00
DFT formation energy (eV per atom): -0.298
Crystal system: triclinic

=====

Below is a geometry-optimized Tm2InPb4 structure, with properties calculated at the PBE-GGA level.

Lattice parameters (Å, degrees): 8.5916 10.0661 4.7360 90.00 90.00 90.00
Space group Cmmm (No. 65)
Symmetry-distinct sites (fractional):
Tm 0.0000 0.2130 0.0000 (multiplicity 4)
In 0.0000 0.0000 0.5000 (multiplicity 2)
Pb 0.1981 0.5000 0.0000 (multiplicity 4)
Pb 0.2500 0.2500 0.5000 (multiplicity 4)

Magnetic moment (μB per cell): 0.00
ΔE to the lowest computed polymorph (eV per atom): 0.000
DFT formation energy (eV per atom): -0.237
Crystal system: orthorhombic

=====

Below is a geometry-optimized Tm2InPb structure, with properties calculated at the PBE-GGA level.

Lattice parameters (Å, degrees): 4.9314 4.9314 4.3718 90.00 90.00 90.00
Space group P4/mmm (No. 123)
Symmetry-distinct sites (fractional):
Tm 0.0000 0.5000 0.0000 (multiplicity 2)
In 0.0000 0.0000 0.5000 (multiplicity 1)
Pb 0.5000 0.5000 0.5000 (multiplicity 1)

Magnetic moment (μB per cell): 0.00
DFT formation energy (eV per atom): -0.393
Crystal system: tetragonal